[1]
DFT (GGA-PBEsol) results for a relaxed structure of Al2CrMo.

Output
**Formation energy from the elements**: -0.1 eV/f.u.
**Calculated volume**: 13.8 Å³/atom
**Crystal system**: orthorhombic
**ΔE to the lowest computed polymorph**: 0.481 eV/f.u.
**Total magnetic moment**: 0.0 μB/cell

Cell: 3.2307 4.1620 8.2310 Å, 90.00 90.00 90.00°
With the nearest neighbours (Å) after each atom.
Space group Cmmm (No. 65)
Symmetry-distinct sites (fractional):
Al: 0.0000 0.0000 0.2368 [4 per cell]  2 Cr 2.53, 4 Al 2.63, 2 Mo 2.70
Cr: 0.0000 0.5000 0.0000 [2 per cell]  4 Al 2.53, 4 Cr 2.63
Mo: 0.0000 0.5000 0.5000 [2 per cell]  4 Mo 2.63, 4 Al 2.70



[2]
DFT (GGA-PBEsol) results for a relaxed structure of AlCrMo.

Output
**Formation energy from the elements**: -0.2 eV/f.u.
**Calculated volume**: 13.6 Å³/atom
**Crystal system**: trigonal
**ΔE to the lowest computed polymorph**: 0.041 eV/f.u.
**Total magnetic moment**: 0.0 μB/cell

Cell: 4.2286 4.2286 2.6313 Å, 90.00 90.00 120.00°
With the nearest neighbours (Å) after each atom.
Space group P3m1 (No. 156)
Symmetry-distinct sites (fractional):
Al: 0.0000 0.0000 0.0000 [1 per cell]  3 Cr 2.61, 2 Al 2.63, 6 Mo 2.67-2.89
Cr: 0.6667 0.3333 0.3455 [1 per cell]  3 Mo 2.52, 3 Al 2.61, 2 Cr 2.63
Mo: 0.3333 0.6667 0.5867 [1 per cell]  3 Cr 2.52, 2 Mo 2.63, 3 Al 2.67



[3]
DFT (GGA-PBEsol) results for a relaxed structure of AlCr3Mo.

Output
**Formation energy from the elements**: 8.5 eV/f.u.
**Calculated volume**: 15.1 Å³/atom
**Crystal system**: cubic
**Total magnetic moment**: 3.9 μB/cell

Cell: 4.2291 4.2291 4.2291 Å, 90.00 90.00 90.00°
With the nearest neighbours (Å) after each atom.
Space group Pm-3m (No. 221)
Symmetry-distinct sites (fractional):
Al: 0.0000 0.0000 0.0000 [1 per cell]  6 Cr 2.11
Cr: 0.0000 0.0000 0.5000 [3 per cell]  2 Al 2.11
Mo: 0.5000 0.5000 0.5000 [1 per cell]  12 Cr 2.99